Below is a relaxed CsPaVN3 crystal, with properties calculated at the GGA-PBE level.

Results
As for the formation energy without anion corrections: -0.98 eV per atom. Its space group is No. 12. As for the size of the total moment: 0.0 μB/cell. The crystal system is monoclinic.

Cell lengths 3.596, 8.215, 8.215 Å; angles 104.77, 90.00, 102.64 degrees
Positions (direct):
Cs 0.360 0.720 0.946
Cs 0.640 0.280 0.054
Pa 0.658 0.317 0.528
Pa 0.342 0.683 0.472
V 0.981 0.962 0.341
V 0.019 0.038 0.659
N 0.865 0.730 0.297
N 0.804 0.609 0.604
N 0.520 0.040 0.323
N 0.196 0.391 0.396
N 0.480 0.960 0.677
N 0.135 0.270 0.703